LiCoTeO: optimized geometry, PBE with a Hubbard U.

abc: 3.793 3.793 10.238
angles: 90.00 90.00 90.00
Positions (direct):
Co: 0.500 0.500 0.057
Co: 0.000 0.000 0.943
Li: 0.000 0.500 0.500
Li: 0.500 0.000 0.500
Te: 0.500 0.500 0.692
Te: 0.000 0.000 0.308
O: 0.500 0.000 0.000
O: 0.000 0.500 0.000

Computed properties:
E_tot = -34.64 eV per cell
Magnetization = 5.5 μB per cell
V = 18.41 Å³ per atom
Space-group type = P4/nmm, No. 129